Density functional theory data (GGA-PBE) for a relaxed CaPm7Tl5 crystal.

For the formation energy, the calculation gives -19.2 kJ/mol of atoms. For the volume, the calculation gives 31.82 A^3/atom. The calculation puts the density of states at the Fermi level at 15.42 states/eV per cell. As for the theoretical density: 8.338 Mg/m³.

Cell lengths 8.523, 8.523, 8.523 Å; angles 133.31, 99.40, 98.67 degrees
Sites, in units of the cell vectors:
Ca  0.000  0.000  0.000
Pm  0.239  0.544  0.694
Pm  0.340  0.340  0.000
Pm  0.368  0.025  0.343
Pm  0.665  0.665  0.000
Pm  0.682  0.025  0.657
Pm  0.805  0.305  0.500
Pm  0.850  0.544  0.306
Tl  0.027  0.035  0.488
Tl  0.027  0.539  0.992
Tl  0.267  0.767  0.500
Tl  0.547  0.035  0.008
Tl  0.547  0.539  0.512